Entry 1:
The following is a DFT calculation (PBE) of a relaxed structure of BaLiBO3.

Calculated values
Formation energy from raw total energies, kJ per mole of atoms: -242.8

```
BaLiBO3
1.0
-2.6943 -0.5181 4.7752
5.4963 -0.3307 -0.1106
0.3635 5.7632 0.8304
B O Ba Li
2 6 2 2
direct
0.6667 0.3333 0.7500
0.3333 0.6667 0.2500
0.6261 0.8131 0.2500
0.1869 0.3739 0.2500
0.3739 0.1869 0.7500
0.8131 0.1869 0.7500
0.8131 0.6261 0.7500
0.1869 0.8131 0.2500
0.6667 0.3333 0.2500
0.3333 0.6667 0.7500
0.0000 0.0000 0.0000
0.0000 0.0000 0.5000
```

Entry 2:
The following is a DFT calculation (PBE) of a relaxed structure of TaNb2In.

Calculated values
Energy relative to the elements, kcal/mol of atoms: 0.5

```
TaNb2In
1.0
3.6118 0.0000 0.0000
0.0000 4.5681 0.0000
0.0000 0.0000 4.5681
Ta Nb In
1 2 1
direct
0.5000 0.5000 0.5000
0.0000 0.0000 0.5000
0.0000 0.5000 0.0000
0.5000 0.0000 0.0000
```

Entry 3:
The following is a DFT calculation (PBE) of a relaxed structure of LiCeMnIn.

Calculated values
Energy relative to the elements, kcal/mol of atoms: -1.3

```
LiCeMnIn
1.0
4.8449 0.0000 0.0000
2.4224 4.1958 0.0000
2.4224 1.3986 3.9558
Li Ce Mn In
1 1 1 1
direct
0.5000 0.5000 0.5000
0.7500 0.7500 0.7500
0.0000 0.0000 0.0000
0.2500 0.2500 0.2500
```

Entry 4:
The following is a DFT calculation (PBE) of a relaxed structure of KRh2Se.

Calculated values
Formation energy from raw total energies, kJ per mole of atoms: 51.2

```
KRh2Se
1.0
5.2300 0.0094 0.0000
2.0541 4.8097 0.0000
-3.6421 -2.4096 2.8779
Rh K Se
2 1 1
direct
0.0000 0.0000 0.0000
0.2500 0.7500 0.5000
0.7500 0.2500 0.5000
0.5000 0.5000 0.0000
```

Entry 5:
The following is a DFT calculation (PBE) of a relaxed structure of Pu2P3Pd5.

Calculated values
Energy relative to the elements, kcal/mol of atoms: -15.8

```
Pu2P3Pd5
1.0
-1.7537 -3.3531 1.7983
5.4839 -0.3072 4.7752
-4.9146 8.5084 6.1913
Pu Pd P
4 10 6
direct
0.4933 0.7525 0.9866
0.1614 0.7487 0.3228
0.8386 0.2487 0.6772
0.5067 0.2525 0.0134
0.6989 0.4042 0.3978
0.8598 0.7122 0.7197
0.3956 0.4963 0.7913
0.6044 0.9963 0.2087
0.3011 0.9042 0.6022
0.9460 0.0014 0.8920
0.1402 0.2122 0.2803
0.0540 0.5014 0.1080
0.2740 0.5144 0.5481
0.7260 0.0144 0.4519
0.0526 0.9906 0.1052
0.2419 0.1984 0.4839
0.7581 0.6984 0.5161
0.9474 0.4906 0.8948
0.3960 0.0462 0.7920
0.6040 0.5462 0.2080
```

Entry 6:
The following is a DFT calculation (PBE) of a relaxed structure of LiSiTe2F.

Calculated values
Formation energy from raw total energies, kJ per mole of atoms: -47.6

```
LiSiTe2F
1.0
-0.9105 1.8846 5.2911
-2.0464 -2.4871 0.5337
4.3389 -3.1678 1.8750
Li Te F Si
1 2 1 1
direct
0.0000 0.0000 0.0000
0.5000 0.0000 0.0000
0.0000 0.0000 0.5000
0.0000 0.5000 0.0000
0.5000 0.5000 0.5000
```

Entry 7:
The following is a DFT calculation (PBE) of a relaxed structure of NdTm2In.

Calculated values
Energy relative to the elements, kcal/mol of atoms: -3.0
ΔE to the lowest computed polymorph, meV per atom: 127

```
NdTm2In
1.0
-3.2308 0.4050 -1.4490
-2.9127 -0.8259 1.8805
-2.4809 10.1096 3.9745
Tm In Nd
2 1 1
direct
0.2567 0.2567 0.2298
0.0768 0.0768 0.7696
0.6665 0.6665 0.0006
0.5000 0.5000 0.5001
```

Entry 8:
The following is a DFT calculation (PBE) of a relaxed structure of NpTi2C.

Calculated values
Energy relative to the elements, kcal/mol of atoms: -3.7

```
NpTi2C
1.0
-1.9720 -0.2184 2.2173
0.9200 -0.6739 2.7482
0.6234 7.8316 3.3223
Ti C Np
2 1 1
direct
0.1195 0.1195 0.6416
0.8805 0.8805 0.3584
0.5000 0.5000 0.5000
0.0000 0.0000 0.0000
```

Entry 9:
The following is a DFT calculation (PBE) of a relaxed structure of Tb2Tl3.

Calculated values
Energy relative to the elements, kcal/mol of atoms: -5.2
ΔE to the lowest computed polymorph, meV per atom: 72

```
Tb2Tl3
1.0
4.0967 0.0000 0.0000
0.0000 11.3064 0.0000
0.0000 0.0000 12.5451
Tl Tb
12 8
direct
0.7500 0.1405 0.9172
0.2500 0.8595 0.0828
0.7500 0.7576 0.2519
0.2500 0.2424 0.7481
0.2500 0.2576 0.2481
0.2500 0.6405 0.5828
0.2500 0.9527 0.3352
0.7500 0.3595 0.4172
0.2500 0.5473 0.8352
0.7500 0.7424 0.7519
0.7500 0.4527 0.1648
0.7500 0.0473 0.6648
0.2500 0.3400 0.9963
0.2500 0.9311 0.8420
0.7500 0.0689 0.1580
0.2500 0.1600 0.4963
0.7500 0.4311 0.6580
0.7500 0.6600 0.0037
0.2500 0.5689 0.3420
0.7500 0.8400 0.5037
```

Entry 10:
The following is a DFT calculation (PBE) of a relaxed structure of SrBeAu2.

Calculated values
Energy relative to the elements, kcal/mol of atoms: -9.3

```
SrBeAu2
1.0
-2.4838 -1.2703 -3.3057
1.2714 -3.2642 -2.5375
-2.9802 -5.0832 1.3737
Au Sr Be
2 1 1
direct
0.5463 0.5463 0.3619
0.9537 0.9537 0.1381
0.7500 0.7500 0.7500
0.2500 0.2500 0.2500
```

Entry 11:
The following is a DFT calculation (PBE) of a relaxed structure of Tb2SnPd.

Calculated values
Energy relative to the elements, kcal/mol of atoms: -18.7

```
Tb2SnPd
1.0
4.4161 0.0000 0.0000
0.0000 6.1191 -0.4219
0.0000 -2.6761 7.7793
Pd Sn Tb
2 2 4
direct
0.7500 0.6372 0.2945
0.2500 0.3628 0.7055
0.7500 0.1157 0.7938
0.2500 0.8843 0.2062
0.2500 0.7633 0.5557
0.7500 0.6784 0.9064
0.7500 0.2367 0.4443
0.2500 0.3216 0.0936
```

Entry 12:
The following is a DFT calculation (PBE) of a relaxed structure of Fe2NiRu.

Calculated values
Energy relative to the elements, kcal/mol of atoms: 2.9

```
Fe2NiRu
1.0
8.4579 -0.0061 -0.0036
8.0581 2.5694 -0.0036
8.0581 1.2506 2.2445
Ru Ni Fe
1 1 2
direct
0.7487 0.7487 0.7487
0.5029 0.5029 0.5029
0.9994 0.9994 0.9994
0.2490 0.2490 0.2490
```

Entry 13:
The following is a DFT calculation (PBE) of a relaxed structure of SrGa6Rh2.

Calculated values
Energy relative to the elements, kcal/mol of atoms: -2.1

```
SrGa6Rh2
1.0
-5.2475 -5.4261 4.0604
3.1560 -7.0694 3.6781
0.2650 -0.6326 8.5437
Rh Sr Ga
4 2 12
direct
0.1250 0.1250 0.1250
0.6250 0.1250 0.1250
0.1250 0.1250 0.6250
0.1250 0.6250 0.1250
0.7500 0.7500 0.7500
0.5000 0.5000 0.5000
0.7769 0.2231 0.2231
0.4731 0.4731 0.0269
0.0269 0.4731 0.0269
0.2231 0.7769 0.2231
0.4731 0.0269 0.4731
0.7769 0.2231 0.7769
0.4731 0.0269 0.0269
0.0269 0.4731 0.4731
0.7769 0.7769 0.2231
0.2231 0.7769 0.7769
0.2231 0.2231 0.7769
0.0269 0.0269 0.4731
```

Entry 14:
The following is a DFT calculation (PBE) of a relaxed structure of TmMgSc4S8.

Calculated values
Formation energy from raw total energies, kJ per mole of atoms: -176.1

```
TmMgSc4S8
1.0
-7.0680 0.1958 2.7978
-5.3000 -4.7229 -2.7252
-2.5279 -5.7963 4.3528
S Sc Tm Mg
8 4 1 1
direct
0.2304 0.7519 0.2658
0.7519 0.7519 0.2658
0.2429 0.2429 0.2714
0.7688 0.2481 0.7350
0.2481 0.2481 0.7350
0.7582 0.7582 0.7253
0.7519 0.2304 0.2658
0.2481 0.7688 0.7350
0.4926 0.0024 0.5026
0.0024 0.4926 0.5026
0.6267 0.6267 0.1200
0.0024 0.0024 0.5026
0.0016 0.0016 0.9952
0.3740 0.3740 0.8781
```

Entry 15:
The following is a DFT calculation (PBE) of a relaxed structure of TiGaIr2Pd.

Calculated values
Energy relative to the elements, kcal/mol of atoms: 21.4

```
TiGaIr2Pd
1.0
4.5320 0.0000 0.0000
0.0000 4.5320 0.0000
0.0000 0.0000 4.8009
Ir Pd Ga Ti
2 1 1 1
direct
0.0000 0.5000 0.0000
0.5000 0.0000 0.0000
0.5000 0.5000 0.5000
0.0000 0.0000 0.5000
0.0000 0.0000 0.0000
```

Entry 16:
The following is a DFT calculation (PBE) of a relaxed structure of Pm5Rh2Au2.

Calculated values
Energy relative to the elements, kcal/mol of atoms: -16.2

```
Pm5Rh2Au2
1.0
-1.8376 -7.2325 2.1914
0.3537 -2.3080 -7.3207
7.3606 -0.4934 4.5440
Rh Pm Au
4 10 4
direct
0.1313 0.6314 0.0000
0.8687 0.3686 0.0000
0.6313 0.8686 0.0000
0.3687 0.1314 0.0000
0.8302 0.5411 0.7405
0.1698 0.4589 0.2595
0.0000 0.0000 0.0000
0.3302 0.9589 0.2595
0.5000 0.5000 0.0000
0.6698 0.3005 0.2595
0.3302 0.6995 0.7405
0.6698 0.0411 0.7405
0.8302 0.8005 0.2595
0.1698 0.1995 0.7405
0.5000 0.7074 0.4148
0.0000 0.2074 0.4148
0.5000 0.2926 0.5852
0.0000 0.7926 0.5852
```

Entry 17:
The following is a DFT calculation (PBE) of a relaxed structure of Pm2SmYH.

Calculated values
Energy, eV per cell: -24.905

```
Pm2SmYH
1.0
5.0709 0.0000 0.0000
0.0000 5.1100 0.0000
0.0000 0.0000 5.1100
H Sm Y Pm
1 1 1 2
direct
0.0000 0.0000 0.0000
0.5000 0.5000 0.5000
0.5000 0.0000 0.0000
0.0000 0.0000 0.5000
0.0000 0.5000 0.0000
```